1.
Pr8Nd2Er3: optimized geometry, PBE.

Structure (CIF):
```
data_Pr8Nd2Er3
_symmetry_space_group_name_H-M 'C 1 2/m 1'
_symmetry_Int_Tables_number 12
_symmetry_space_group_name_Hall '-C 2y'
_cell_length_a 13.5708
_cell_length_b 11.8797
_cell_length_c 6.1877
_cell_angle_alpha 90.00
_cell_angle_beta 113.74
_cell_angle_gamma 90.00
loop_
_atom_site_label
_atom_site_fract_x
_atom_site_fract_y
_atom_site_fract_z
_atom_site_occupancy
Pr1 0.0852 0.0000 0.2610 1
Pr2 0.1378 0.5000 0.6081 1
Pr3 0.1611 0.2617 0.1552 1
Nd1 0.1888 0.0000 0.8381 1
Er1 0.0000 0.2346 0.5000 1
Er2 0.0000 0.5000 0.0000 1
```

Calculated values
E_form = 0.155 eV/atom
M_tot = 0.0 μB/f.u.
E = -118.89 eV for the cell shown



2.
CsNa3: optimized geometry, PBE.

Structure (CIF):
```
data_CsNa3
_symmetry_space_group_name_H-M 'C 1 2/m 1'
_symmetry_Int_Tables_number 12
_symmetry_space_group_name_Hall '-C 2y'
_cell_length_a 13.1599
_cell_length_b 7.7165
_cell_length_c 13.1525
_cell_angle_alpha 90.00
_cell_angle_beta 109.55
_cell_angle_gamma 90.00
loop_
_atom_site_label
_atom_site_fract_x
_atom_site_fract_y
_atom_site_fract_z
_atom_site_occupancy
Cs1 0.0000 0.0000 0.0000 1
Cs2 0.1407 0.0000 0.4226 1
Na1 0.0000 0.5000 0.5000 1
Na2 0.0797 0.5000 0.2412 1
Na3 0.1663 0.5000 0.0012 1
Na4 0.1699 0.2515 0.7607 1
```

Calculated values
E_form = 0.014 eV/atom
M_tot = 0.0 μB/f.u.
E = -28.53 eV for the cell shown



3.
NaMgIn2Br5: optimized geometry, PBE.

Structure (CIF):
```
data_NaMgIn2Br5
_symmetry_space_group_name_H-M 'C m c 21'
_symmetry_Int_Tables_number 36
_symmetry_space_group_name_Hall 'C 2c -2'
_cell_length_a 4.1324
_cell_length_b 18.4358
_cell_length_c 15.4906
_cell_angle_alpha 90.00
_cell_angle_beta 90.00
_cell_angle_gamma 90.00
loop_
_atom_site_label
_atom_site_fract_x
_atom_site_fract_y
_atom_site_fract_z
_atom_site_occupancy
Na1 0.0000 0.0425 0.0000 1
Mg1 0.0000 0.2768 0.5760 1
In1 0.0000 0.3644 0.8392 1
In2 0.0000 0.4129 0.1993 1
Br1 0.0000 0.0070 0.3289 1
Br2 0.0000 0.1319 0.5440 1
Br3 0.0000 0.2017 0.9634 1
Br4 0.0000 0.2389 0.1965 1
Br5 0.0000 0.4204 0.6162 1
```

Calculated values
M_tot = 0.0 μB/f.u.
E = -106.30 eV for the cell shown



4.
Ac2Pm6Dy3: optimized geometry, PBE.

Structure (CIF):
```
data_Ac2Pm6Dy3
_symmetry_space_group_name_H-M 'R -3 m'
_symmetry_Int_Tables_number 166
_symmetry_space_group_name_Hall '-R 3 2"'
_cell_length_a 3.6954
_cell_length_b 3.6954
_cell_length_c 98.6518
_cell_angle_alpha 90.00
_cell_angle_beta 90.00
_cell_angle_gamma 120.00
loop_
_atom_site_label
_atom_site_fract_x
_atom_site_fract_y
_atom_site_fract_z
_atom_site_occupancy
Ac1 0.0000 0.0000 0.0469 1
Pm1 0.0000 0.0000 0.1374 1
Pm2 0.0000 0.0000 0.3184 1
Pm3 0.0000 0.0000 0.4121 1
Dy1 0.0000 0.0000 0.2253 1
Dy2 0.0000 0.0000 0.5000 1
```

Calculated values
E_form = 0.041 eV/atom
M_tot = 0.0 μB/f.u.
E = -150.24 eV for the cell shown



5.
LaCoSb2P: optimized geometry, PBE.

Structure (CIF):
```
data_LaCoSb2P
_symmetry_space_group_name_H-M 'P 4/m m m'
_symmetry_Int_Tables_number 123
_symmetry_space_group_name_Hall '-P 4 2'
_cell_length_a 4.7465
_cell_length_b 4.7465
_cell_length_c 5.4344
_cell_angle_alpha 90.00
_cell_angle_beta 90.00
_cell_angle_gamma 90.00
loop_
_atom_site_label
_atom_site_fract_x
_atom_site_fract_y
_atom_site_fract_z
_atom_site_occupancy
La1 0.0000 0.0000 0.0000 1
Co1 0.0000 0.0000 0.5000 1
Sb1 0.0000 0.5000 0.5000 1
P1 0.5000 0.5000 0.0000 1
```

Calculated values
M_tot = 0.0 μB/f.u.
E = -26.68 eV for the cell shown



6.
CuTe2OsN: optimized geometry, PBE.

Structure (CIF):
```
data_CuTe2OsN
_symmetry_space_group_name_H-M 'P 4/m m m'
_symmetry_Int_Tables_number 123
_symmetry_space_group_name_Hall '-P 4 2'
_cell_length_a 5.4450
_cell_length_b 5.4450
_cell_length_c 3.6444
_cell_angle_alpha 90.00
_cell_angle_beta 90.00
_cell_angle_gamma 90.00
loop_
_atom_site_label
_atom_site_fract_x
_atom_site_fract_y
_atom_site_fract_z
_atom_site_occupancy
Cu1 0.0000 0.0000 0.0000 1
Te1 0.0000 0.5000 0.5000 1
Os1 0.5000 0.5000 0.5000 1
N1 0.5000 0.5000 0.0000 1
```

Calculated values
M_tot = 0.0 μB/f.u.
E = -27.21 eV for the cell shown



7.
MgZn6Ga12: optimized geometry, PBE.

Structure (CIF):
```
data_MgZn6Ga12
_symmetry_space_group_name_H-M 'R -3'
_symmetry_Int_Tables_number 148
_symmetry_space_group_name_Hall '-R 3'
_cell_length_a 9.1786
_cell_length_b 9.1786
_cell_length_c 14.5076
_cell_angle_alpha 90.00
_cell_angle_beta 90.00
_cell_angle_gamma 120.00
loop_
_atom_site_label
_atom_site_fract_x
_atom_site_fract_y
_atom_site_fract_z
_atom_site_occupancy
Mg1 0.0000 0.0000 0.0000 1
Zn1 0.0112 0.4560 0.3484 1
Ga1 0.0068 0.1837 0.1760 1
Ga2 0.0693 0.2038 0.4159 1
```

Calculated values
E_form = 0.050 eV/atom
M_tot = 0.0 μB/f.u.
E = -133.85 eV for the cell shown



8.
EuErMgPb: optimized geometry, PBE.

Structure (CIF):
```
data_EuErMgPb
_symmetry_space_group_name_H-M 'F -4 3 m'
_symmetry_Int_Tables_number 216
_symmetry_space_group_name_Hall 'F -4 2 3'
_cell_length_a 7.7362
_cell_length_b 7.7362
_cell_length_c 7.7362
_cell_angle_alpha 90.00
_cell_angle_beta 90.00
_cell_angle_gamma 90.00
loop_
_atom_site_label
_atom_site_fract_x
_atom_site_fract_y
_atom_site_fract_z
_atom_site_occupancy
Eu1 0.0000 0.0000 0.0000 1
Er1 0.0000 0.0000 0.5000 1
Mg1 0.2500 0.2500 0.2500 1
Pb1 0.2500 0.2500 0.7500 1
```

Calculated values
E_form = -0.283 eV/atom
M_tot = 7.6 μB/f.u.
E = -85.09 eV for the cell shown